The following is a SCAN calculation of a crystal of MnHgH2 relaxed with PBEsol, from Alexandria.

It has space group Fm-3m (No. 225), with a = 5.4605 Å, b = 5.4605 Å, c = 5.4605 Å, α = 90.00°, β = 90.00° and γ = 90.00°. Symmetry generates all atoms from Mn at (0.0000, 0.0000, 0.0000), Hg at (0.0000, 0.0000, 0.5000) and H at (0.2500, 0.2500, 0.2500).

As for the calculated volume: 10.2 A^3/atom. As for the spin magnetization: 0.9578 μB/atom. As for the raw total energy: -22.720 eV per atom.

The following is a SCAN calculation of a crystal of MnHgMo2H relaxed with PBEsol, from Alexandria.

It has space group P4/mmm (No. 123), with a = 4.7052 Å, b = 4.7052 Å, c = 3.0663 Å, α = 90.00°, β = 90.00° and γ = 90.00°. Symmetry generates all atoms from Mn at (0.0000, 0.0000, 0.0000), Hg at (0.5000, 0.5000, 0.5000), Mo at (0.0000, 0.5000, 0.0000) and H at (0.0000, 0.0000, 0.5000).

As for the calculated volume: 13.6 A^3/atom. As for the spin magnetization: 0.0000 μB/atom. As for the raw total energy: -30.955 eV per atom.

The following is a SCAN calculation of a crystal of HgMoH2 relaxed with PBEsol, from Alexandria.

It has space group Fm-3m (No. 225), with a = 5.5397 Å, b = 5.5397 Å, c = 5.5397 Å, α = 90.00°, β = 90.00° and γ = 90.00°. Symmetry generates all atoms from Hg at (0.0000, 0.0000, 0.0000), Mo at (0.0000, 0.0000, 0.5000) and H at (0.2500, 0.2500, 0.2500).

As for the calculated volume: 10.6 A^3/atom. As for the spin magnetization: 0.5639 μB/atom. As for the raw total energy: -26.491 eV per atom.

The following is a SCAN calculation of a crystal of Hg3MoH relaxed with PBEsol, from Alexandria.

It has space group Pm-3m (No. 221), with a = 5.3906 Å, b = 5.3906 Å, c = 5.3906 Å, α = 90.00°, β = 90.00° and γ = 90.00°. Symmetry generates all atoms from Hg at (0.0000, 0.0000, 0.5000), Mo at (0.0000, 0.0000, 0.0000) and H at (0.5000, 0.5000, 0.5000).

As for the calculated volume: 31.3 A^3/atom. As for the spin magnetization: 0.9023 μB/atom. As for the raw total energy: -47.429 eV per atom.

The following is a SCAN calculation of a crystal of HgMoH3 relaxed with PBEsol, from Alexandria.

It has space group Pm-3m (No. 221), with a = 3.6289 Å, b = 3.6289 Å, c = 3.6289 Å, α = 90.00°, β = 90.00° and γ = 90.00°. Symmetry generates all atoms from Hg at (0.0000, 0.0000, 0.0000), Mo at (0.5000, 0.5000, 0.5000) and H at (0.0000, 0.0000, 0.5000).

As for the calculated volume: 9.6 A^3/atom. As for the spin magnetization: 0.2250 μB/atom. As for the raw total energy: -21.395 eV per atom.

The following is a SCAN calculation of a crystal of Hg2HN relaxed with PBEsol, from Alexandria.

It has space group I-42d (No. 122), with a = 4.6301 Å, b = 4.6301 Å, c = 11.3201 Å, α = 90.00°, β = 90.00° and γ = 90.00°. Symmetry generates all atoms from Hg at (0.2353, 0.2500, 0.1250), H at (0.0000, 0.0000, 0.0000) and N at (0.0000, 0.0000, 0.5000).

As for the calculated volume: 15.2 A^3/atom. As for the spin magnetization: 0.0000 μB/atom. As for the raw total energy: -36.322 eV per atom.

The following is a SCAN calculation of a crystal of HgTe2HN relaxed with PBEsol, from Alexandria.

It has space group P4/mmm (No. 123), with a = 5.5303 Å, b = 5.5303 Å, c = 2.8939 Å, α = 90.00°, β = 90.00° and γ = 90.00°. Symmetry generates all atoms from Hg at (0.0000, 0.0000, 0.0000), Te at (0.0000, 0.5000, 0.5000), H at (0.5000, 0.5000, 0.5000) and N at (0.5000, 0.5000, 0.0000).

As for the calculated volume: 17.7 A^3/atom. As for the spin magnetization: 0.0001 μB/atom. As for the raw total energy: -30.007 eV per atom.

The following is a SCAN calculation of a crystal of NaHg2H2 relaxed with PBEsol, from Alexandria.

It has space group P4/mbm (No. 127), with a = 6.2927 Å, b = 6.2927 Å, c = 3.8942 Å, α = 90.00°, β = 90.00° and γ = 90.00°. Symmetry generates all atoms from Na at (0.0000, 0.0000, 0.0000), Hg at (0.1676, 0.3324, 0.5000) and H at (0.1680, 0.3320, 0.0000).

As for the calculated volume: 15.4 A^3/atom. As for the spin magnetization: 0.0000 μB/atom. As for the raw total energy: -29.422 eV per atom.

The following is a SCAN calculation of a crystal of Na2HgH2 relaxed with PBEsol, from Alexandria.

It has space group P4/mbm (No. 127), with a = 6.9067 Å, b = 6.9067 Å, c = 3.1074 Å, α = 90.00°, β = 90.00° and γ = 90.00°. Symmetry generates all atoms from Na at (0.1511, 0.3489, 0.0000), Hg at (0.0000, 0.0000, 0.5000) and H at (0.1486, 0.6486, 0.5000).

As for the calculated volume: 14.8 A^3/atom. As for the spin magnetization: 0.0000 μB/atom. As for the raw total energy: -16.761 eV per atom.

The following is a SCAN calculation of a crystal of Na3HgH relaxed with PBEsol, from Alexandria.

It has space group Pm-3m (No. 221), with a = 4.7083 Å, b = 4.7083 Å, c = 4.7083 Å, α = 90.00°, β = 90.00° and γ = 90.00°. Symmetry generates all atoms from Na at (0.0000, 0.0000, 0.5000), Hg at (0.5000, 0.5000, 0.5000) and H at (0.0000, 0.0000, 0.0000).

As for the calculated volume: 20.9 A^3/atom. As for the spin magnetization: 0.0019 μB/atom. As for the raw total energy: -17.037 eV per atom.

The following is a SCAN calculation of a crystal of Hg3HO relaxed with PBEsol, from Alexandria.

It has space group Pm-3m (No. 221), with a = 4.3238 Å, b = 4.3238 Å, c = 4.3238 Å, α = 90.00°, β = 90.00° and γ = 90.00°. Symmetry generates all atoms from Hg at (0.0000, 0.0000, 0.5000), H at (0.0000, 0.0000, 0.0000) and O at (0.5000, 0.5000, 0.5000).

As for the calculated volume: 16.2 A^3/atom. As for the spin magnetization: 0.2093 μB/atom. As for the raw total energy: -42.187 eV per atom.

The following is a SCAN calculation of a crystal of Hg3H4S2O11 relaxed with PBEsol, from Alexandria.

It has space group C2/c (No. 15), with a = 6.9693 Å, b = 8.9451 Å, c = 14.6734 Å, α = 90.00°, β = 99.10° and γ = 90.00°. Symmetry generates all atoms from Hg at (0.2415, 0.0613, 0.1549), Hg at (0.2500, 0.2500, 0.5000), H at (0.0857, 0.1978, 0.6477), H at (0.0954, 0.2405, 0.2901), S at (0.2216, 0.4089, 0.1054), O at (0.0000, 0.1742, 0.2500), O at (0.0866, 0.3396, 0.0304), O at (0.1201, 0.4882, 0.1719), O at (0.1362, 0.0061, 0.4314), O at (0.1512, 0.2156, 0.8414) and O at (0.2220, 0.1718, 0.6382).

As for the calculated volume: 11.3 A^3/atom. As for the spin magnetization: 0.0000 μB/atom. As for the raw total energy: -16.377 eV per atom.

The following is a SCAN calculation of a crystal of HgH2SeO5 relaxed with PBEsol, from Alexandria.

It has space group P2_1/c (No. 14), with a = 7.8558 Å, b = 7.6652 Å, c = 8.2834 Å, α = 90.00°, β = 120.81° and γ = 90.00°. Symmetry generates all atoms from Hg at (0.2040, 0.2315, 0.2558), H at (0.2046, 0.5216, 0.0194), H at (0.4197, 0.0692, 0.6227), Se at (0.2654, 0.6172, 0.5168), O at (0.1104, 0.0150, 0.8419), O at (0.1168, 0.7182, 0.0055), O at (0.2727, 0.0963, 0.5431), O at (0.3548, 0.5110, 0.7231) and O at (0.4520, 0.6942, 0.5010).

As for the calculated volume: 11.9 A^3/atom. As for the spin magnetization: 0.0000 μB/atom. As for the raw total energy: -14.787 eV per atom.

The following is a SCAN calculation of a crystal of SnHgH2Os relaxed with PBEsol, from Alexandria.

It has space group P4/mmm (No. 123), with a = 3.6682 Å, b = 3.6682 Å, c = 5.6297 Å, α = 90.00°, β = 90.00° and γ = 90.00°. Symmetry generates all atoms from Sn at (0.0000, 0.0000, 0.0000), Hg at (0.5000, 0.5000, 0.5000), H at (0.0000, 0.5000, 0.5000) and Os at (0.5000, 0.5000, 0.0000).

As for the calculated volume: 15.2 A^3/atom. As for the spin magnetization: 0.1378 μB/atom. As for the raw total energy: -35.809 eV per atom.

The following is a SCAN calculation of a crystal of HgP2H relaxed with PBEsol, from Alexandria.

It has space group Fm-3m (No. 225), with a = 6.1966 Å, b = 6.1966 Å, c = 6.1966 Å, α = 90.00°, β = 90.00° and γ = 90.00°. Symmetry generates all atoms from Hg at (0.0000, 0.0000, 0.0000), P at (0.2500, 0.2500, 0.2500) and H at (0.0000, 0.0000, 0.5000).

As for the calculated volume: 14.9 A^3/atom. As for the spin magnetization: 0.0000 μB/atom. As for the raw total energy: -21.887 eV per atom.

The following is a SCAN calculation of a crystal of Hg3PH relaxed with PBEsol, from Alexandria.

It has space group Pm-3m (No. 221), with a = 5.0859 Å, b = 5.0859 Å, c = 5.0859 Å, α = 90.00°, β = 90.00° and γ = 90.00°. Symmetry generates all atoms from Hg at (0.0000, 0.0000, 0.5000), P at (0.0000, 0.0000, 0.0000) and H at (0.5000, 0.5000, 0.5000).

As for the calculated volume: 26.3 A^3/atom. As for the spin magnetization: 0.0472 μB/atom. As for the raw total energy: -43.031 eV per atom.

The following is a SCAN calculation of a crystal of HgP2HS relaxed with PBEsol, from Alexandria.

It has space group P4/mmm (No. 123), with a = 4.9698 Å, b = 4.9698 Å, c = 5.0587 Å, α = 90.00°, β = 90.00° and γ = 90.00°. Symmetry generates all atoms from Hg at (0.0000, 0.0000, 0.0000), P at (0.0000, 0.5000, 0.0000), H at (0.5000, 0.5000, 0.5000) and S at (0.0000, 0.0000, 0.5000).

As for the calculated volume: 25.0 A^3/atom. As for the spin magnetization: 0.5132 μB/atom. As for the raw total energy: -18.663 eV per atom.

The following is a SCAN calculation of a crystal of HgHPd3 relaxed with PBEsol, from Alexandria.

It has space group Pm-3m (No. 221), with a = 4.0195 Å, b = 4.0195 Å, c = 4.0195 Å, α = 90.00°, β = 90.00° and γ = 90.00°. Symmetry generates all atoms from Hg at (0.0000, 0.0000, 0.0000), H at (0.5000, 0.5000, 0.5000) and Pd at (0.0000, 0.5000, 0.5000).

As for the calculated volume: 13.0 A^3/atom. As for the spin magnetization: 0.0004 μB/atom. As for the raw total energy: -34.166 eV per atom.

The following is a SCAN calculation of a crystal of HgH2Pd2 relaxed with PBEsol, from Alexandria.

It has space group I4/mmm (No. 139), with a = 3.2519 Å, b = 3.2519 Å, c = 10.3808 Å, α = 90.00°, β = 90.00° and γ = 90.00°. Symmetry generates all atoms from Hg at (0.0000, 0.0000, 0.0000), H at (0.0000, 0.5000, 0.2500) and Pd at (0.0000, 0.0000, 0.3403).

As for the calculated volume: 11.0 A^3/atom. As for the spin magnetization: 0.0000 μB/atom. As for the raw total energy: -28.215 eV per atom.

The following is a SCAN calculation of a crystal of ScHgHPd2 relaxed with PBEsol, from Alexandria.

It has space group P4/mmm (No. 123), with a = 4.9628 Å, b = 4.9628 Å, c = 5.1828 Å, α = 90.00°, β = 90.00° and γ = 90.00°. Symmetry generates all atoms from Sc at (0.0000, 0.0000, 0.0000), Hg at (0.0000, 0.0000, 0.5000), H at (0.5000, 0.5000, 0.0000) and Pd at (0.0000, 0.5000, 0.5000).

As for the calculated volume: 25.5 A^3/atom. As for the spin magnetization: 0.0002 μB/atom. As for the raw total energy: -29.122 eV per atom.